{"formula": "LaPtSe2", "functional": "PBEsol", "state": "relaxed", "lattice": [[-2.5567, -3.2223, -0.3878], [2.0939, -4.4763, 1.3803], [-1.6640, -1.8677, 4.4799]], "species": ["La", "Pt", "Se", "Se"], "fractional_positions": [[0.5000, 0.0000, 0.0000], [0.0000, 0.5000, 0.5000], [0.3005, 0.6995, 0.6995], [0.6995, 0.3005, 0.3005]], "polymorph_energy_mev_per_atom": 0, "raw_formation_energy_ev_per_fu": -4.33}